# MgOs2Se

A geometry-optimized MgOs2Se structure (PBE, the Alexandria database).

Unit cell a=4.9869 b=4.9869 c=4.9869 alpha=134.21 beta=134.21 gamma=66.77
Last column: nearest neighbours and their distance in Å.
Positions (direct):
Mg1 0.7500 0.2500 0.5000  4 Se 2.74, 8 Os 2.85
Os1 0.0000 0.0000 0.0000  4 Os 2.74, 4 Se 2.85, 4 Mg 2.85
Os2 0.5000 0.5000 0.0000  4 Os 2.74, 4 Mg 2.85, 4 Se 2.85
Se1 0.2500 0.7500 0.5000  4 Mg 2.74, 8 Os 2.85

The value obtained for the energy relative to the elements, uncorrected is 672 meV/atom. The value obtained for the density of states at the Fermi level is 3.9 states/eV per cell. The calculation puts the energy above the most stable polymorph in this dataset at 0.5287 eV per atom. Its symmetry is I4/mmm.

# Mn2Ir2Rh3

A geometry-optimized Mn2Ir2Rh3 structure (PBE, the Alexandria database).

Unit cell a=3.7749 b=4.6829 c=6.0463 alpha=97.23 beta=90.00 gamma=113.77
Last column: nearest neighbours and their distance in Å.
Positions (direct):
Mn1 0.4273 0.8546 0.2852  5 Ir 2.66-2.73, 6 Rh 2.68-2.71, 1 Mn 2.72
Mn2 0.5727 0.1454 0.7148  5 Ir 2.66-2.73, 6 Rh 2.68-2.71, 1 Mn 2.72
Ir1 0.1415 0.2829 0.4347  3 Ir 2.65-2.69, 5 Mn 2.66-2.73, 4 Rh 2.67-2.74
Ir2 0.8585 0.7171 0.5653  3 Ir 2.65-2.69, 5 Mn 2.66-2.73, 4 Rh 2.67-2.74
Rh1 0.0000 0.0000 0.0000  4 Mn 2.69, 6 Rh 2.69-2.71, 2 Ir 2.74
Rh2 0.2860 0.5720 0.8552  3 Ir 2.67-2.71, 4 Mn 2.68-2.71, 5 Rh 2.69-2.71
Rh3 0.7140 0.4280 0.1448  3 Ir 2.67-2.71, 4 Mn 2.68-2.71, 5 Rh 2.69-2.71

The value obtained for the density of states at the Fermi level is 7.5 states/eV per cell. Its symmetry is C2/m.

# Ca2DyTl

A geometry-optimized Ca2DyTl structure (PBE, the Alexandria database).

Unit cell a=4.1881 b=4.1881 c=7.3433 alpha=90.00 beta=90.00 gamma=90.00
Last column: nearest neighbours and their distance in Å.
Positions (direct):
Tl1 0.5000 0.5000 0.0000  8 Ca 3.43, 2 Dy 3.67
Ca1 0.0000 0.0000 0.7654  4 Tl 3.43, 1 Ca 3.45, 4 Dy 3.55
Ca2 0.0000 0.0000 0.2346  4 Tl 3.43, 1 Ca 3.45, 4 Dy 3.55
Dy1 0.5000 0.5000 0.5000  8 Ca 3.55, 2 Tl 3.67

The value obtained for the density of states at the Fermi level is 2.9 states/eV per cell. The calculation puts the energy above the most stable polymorph in this dataset at 0.0795 eV per atom. Its symmetry is P4/mmm.

# Ni3IrSe6

A geometry-optimized Ni3IrSe6 structure (PBE, the Alexandria database).

Unit cell a=7.2975 b=5.9538 c=7.7044 alpha=119.01 beta=134.74 gamma=60.46
Last column: nearest neighbours and their distance in Å.
Positions (direct):
Ni1 0.5000 0.5000 0.5000  4 Se 2.32-2.38
Ni2 0.6339 0.8206 0.1218  4 Se 2.31-2.38, 1 Ni 2.55
Ni3 0.3661 0.1794 0.8782  4 Se 2.31-2.38, 1 Ni 2.55
Ir1 0.0000 0.0000 0.0000  6 Se 2.48-2.56
Se1 0.8201 0.1487 0.2380  2 Ni 2.38, 1 Ir 2.56
Se2 0.7961 0.4520 0.9201  2 Ni 2.31-2.38, 1 Ir 2.49, 1 Se 2.56
Se3 0.5446 0.9299 0.6631  2 Ni 2.32, 1 Ir 2.48, 1 Se 2.58
Se4 0.2039 0.5481 0.0799  2 Ni 2.31-2.38, 1 Ir 2.49, 1 Se 2.56
Se5 0.4554 0.0702 0.3369  2 Ni 2.32, 1 Ir 2.48, 1 Se 2.58
Se6 0.1799 0.8513 0.7620  2 Ni 2.38, 1 Ir 2.56

The value obtained for the energy relative to the elements, uncorrected is -146 meV/atom. The value obtained for the density of states at the Fermi level is 5.5 states/eV per cell. Its symmetry is P-1.

# MgInSi

A geometry-optimized MgInSi structure (PBE, the Alexandria database).

Unit cell a=4.6362 b=4.6362 c=4.6362 alpha=60.00 beta=60.00 gamma=60.00
Last column: nearest neighbours and their distance in Å.
Positions (direct):
In1 0.0000 0.0000 0.0000  4 Si 2.84
Mg1 0.5000 0.5000 0.5000  4 Si 2.84
Si1 0.2500 0.2500 0.2500  4 In 2.84, 4 Mg 2.84

The value obtained for the energy relative to the elements, uncorrected is 126 meV/atom. The value obtained for the density of states at the Fermi level is 2.4 states/eV per cell. Its symmetry is F-43m.

# NpBeRe2

A geometry-optimized NpBeRe2 structure (PBE, the Alexandria database).

Unit cell a=4.4517 b=4.4517 c=4.4532 alpha=60.01 beta=60.01 gamma=60.00
Last column: nearest neighbours and their distance in Å.
Positions (direct):
Np1 0.0000 0.0000 0.0000  8 Re 2.72-2.73
Re1 0.2497 0.2497 0.2508  4 Np 2.72-2.73, 4 Be 2.73
Re2 0.7503 0.7503 0.7492  4 Np 2.72-2.73, 4 Be 2.73
Be1 0.5000 0.5000 0.5000  8 Re 2.73

The value obtained for the density of states at the Fermi level is 7.4 states/eV per cell. Its symmetry is Fm-3m.

# Zn6PtAu

A geometry-optimized Zn6PtAu structure (PBE, the Alexandria database).

Unit cell a=4.6879 b=6.4065 c=6.4042 alpha=44.01 beta=68.55 gamma=68.54
Last column: nearest neighbours and their distance in Å.
Positions (direct):
Zn1 0.8738 0.6382 0.6126  6 Zn 2.69-2.85, 2 Au 2.71-2.82, 2 Pt 2.71-2.72
Zn2 0.6252 0.8910 0.8574  6 Zn 2.68-2.77, 2 Pt 2.70-2.83, 2 Au 2.72
Zn3 0.7461 0.2830 0.2276  1 Pt 2.67, 8 Zn 2.68-2.85, 1 Au 2.79
Zn4 0.3748 0.1090 0.1426  6 Zn 2.68-2.77, 2 Pt 2.70-2.83, 2 Au 2.72
Zn5 0.1262 0.3618 0.3874  6 Zn 2.69-2.85, 2 Au 2.71-2.82, 2 Pt 2.71-2.72
Zn6 0.2539 0.7170 0.7724  1 Pt 2.67, 8 Zn 2.68-2.85, 1 Au 2.79
Pt1 0.5000 0.5000 0.5000  10 Zn 2.67-2.83
Au1 0.0000 0.0000 0.0000  10 Zn 2.71-2.82

The value obtained for the density of states at the Fermi level is 2.7 states/eV per cell. The calculation puts the energy above the most stable polymorph in this dataset at 0.0000 eV per atom. Its symmetry is P-1.

# RbNbP3

A geometry-optimized RbNbP3 structure (PBE, the Alexandria database).

Unit cell a=4.9599 b=4.9599 c=4.9599 alpha=90.00 beta=90.00 gamma=90.00
Last column: nearest neighbours and their distance in Å.
Positions (direct):
P1 0.0000 0.5000 0.0000  2 Rb 2.48
P2 0.0000 0.0000 0.5000  2 Rb 2.48
P3 0.5000 0.0000 0.0000  2 Rb 2.48
Nb1 0.5000 0.5000 0.5000  12 P 3.51
Rb1 0.0000 0.0000 0.0000  6 P 2.48

The value obtained for the density of states at the Fermi level is 7.7 states/eV per cell. The calculation puts the energy above the most stable polymorph in this dataset at 2.5125 eV per atom. Its symmetry is Pm-3m.

# Pm7Sm12Ho

A geometry-optimized Pm7Sm12Ho structure (PBE, the Alexandria database).

Unit cell a=8.8672 b=8.8672 c=8.8672 alpha=86.86 beta=86.86 gamma=86.86
Last column: nearest neighbours and their distance in Å.
Positions (direct):
Pm1 0.8489 0.6041 0.9240  3 Pm 3.46-3.53, 7 Sm 3.57-3.83
Pm2 0.3959 0.0760 0.1511  3 Pm 3.46-3.53, 7 Sm 3.57-3.83
Pm3 0.0760 0.1511 0.3959  3 Pm 3.46-3.53, 7 Sm 3.57-3.83
Pm4 0.5000 0.5000 0.5000  6 Sm 3.35
Pm5 0.9240 0.8489 0.6041  3 Pm 3.46-3.53, 7 Sm 3.57-3.83
Pm6 0.6041 0.9240 0.8489  3 Pm 3.46-3.53, 7 Sm 3.57-3.83
Pm7 0.1511 0.3959 0.0760  3 Pm 3.46-3.53, 7 Sm 3.57-3.83
Sm1 0.8528 0.2531 0.7266  3 Sm 3.27-3.44, 1 Ho 3.47, 2 Pm 3.58-3.65
Sm2 0.7469 0.2734 0.1472  3 Sm 3.27-3.44, 1 Ho 3.47, 2 Pm 3.58-3.65
Sm3 0.6167 0.1346 0.4941  4 Sm 3.24-3.44, 2 Pm 3.35-3.57
Sm4 0.8654 0.5059 0.3833  4 Sm 3.24-3.44, 2 Pm 3.35-3.57
Sm5 0.2734 0.1472 0.7469  3 Sm 3.27-3.44, 1 Ho 3.47, 2 Pm 3.58-3.65
Sm6 0.5059 0.3833 0.8654  4 Sm 3.24-3.44, 2 Pm 3.35-3.57
Sm7 0.4941 0.6167 0.1346  4 Sm 3.24-3.44, 2 Pm 3.35-3.57
Sm8 0.7266 0.8528 0.2531  3 Sm 3.27-3.44, 1 Ho 3.47, 2 Pm 3.58-3.65
Sm9 0.1346 0.4941 0.6167  4 Sm 3.24-3.44, 2 Pm 3.35-3.57
Sm10 0.3833 0.8654 0.5059  4 Sm 3.24-3.44, 2 Pm 3.35-3.57
Sm11 0.2531 0.7266 0.8528  3 Sm 3.27-3.44, 1 Ho 3.47, 2 Pm 3.58-3.65
Sm12 0.1472 0.7469 0.2734  3 Sm 3.27-3.44, 1 Ho 3.47, 2 Pm 3.58-3.65
Ho1 0.0000 0.0000 0.0000  6 Sm 3.47

The value obtained for the density of states at the Fermi level is 39.1 states/eV per cell. The calculation puts the energy above the most stable polymorph in this dataset at 0.0000 eV per atom. Its symmetry is R-3.

# K2PH2Se4

A geometry-optimized K2PH2Se4 structure (PBE, the Alexandria database).

Unit cell a=4.5447 b=6.9042 c=6.9042 alpha=73.87 beta=75.95 gamma=75.95
Last column: nearest neighbours and their distance in Å.
Positions (direct):
K1 0.1968 0.6528 0.6528  1 H 2.75
K2 0.8032 0.3472 0.3472  1 H 2.75
P1 0.5000 0.0000 0.0000  2 H 1.45
H1 0.2191 0.1064 0.1064  1 P 1.45
H2 0.7809 0.8936 0.8936  1 P 1.45
Se1 0.2466 0.6876 0.1166  1 P 2.53, 1 Se 2.60, 1 H 2.79
Se2 0.7534 0.8834 0.3124  1 P 2.53, 1 Se 2.60, 1 H 2.79
Se3 0.7534 0.3124 0.8834  1 P 2.53, 1 Se 2.60, 1 H 2.79
Se4 0.2466 0.1166 0.6876  1 P 2.53, 1 Se 2.60, 1 H 2.79

The value obtained for the density of states at the Fermi level is 2.4 states/eV per cell. Its symmetry is C2/m.

# PmDyTcAg

A geometry-optimized PmDyTcAg structure (PBE, the Alexandria database).

Unit cell a=5.0334 b=5.0334 c=5.0334 alpha=60.00 beta=60.00 gamma=60.00
Last column: nearest neighbours and their distance in Å.
Positions (direct):
Pm1 0.5000 0.5000 0.5000  4 Ag 3.08, 4 Tc 3.08
Tc1 0.7500 0.7500 0.7500  4 Dy 3.08, 4 Pm 3.08
Ag1 0.2500 0.2500 0.2500  4 Pm 3.08, 4 Dy 3.08
Dy1 0.0000 0.0000 0.0000  4 Tc 3.08, 4 Ag 3.08

The value obtained for the density of states at the Fermi level is 3.8 states/eV per cell. Its symmetry is F-43m.

# Ce2NiAg

A geometry-optimized Ce2NiAg structure (PBE, the Alexandria database).

Unit cell a=3.8245 b=3.8245 c=8.2073 alpha=76.53 beta=76.53 gamma=60.00
Last column: nearest neighbours and their distance in Å.
Positions (direct):
Ni1 0.0000 0.0000 0.0000  6 Ce 2.76
Ag1 0.5000 0.5000 0.5000  6 Ce 3.18
Ce1 0.2633 0.2633 0.2100  3 Ni 2.76
Ce2 0.7367 0.7367 0.7900  3 Ni 2.76

The value obtained for the density of states at the Fermi level is 10.4 states/eV per cell. The calculation puts the energy above the most stable polymorph in this dataset at 0.1253 eV per atom. Its symmetry is R-3m.

Calculated total DFT energy (no corrections), -24.852; -58.845; -11.329; -48.571; -9.377; -39.847; -18.630; -15.008; -89.924; -30.942; -22.804; -20.701 eV/f.u. (same order as the records).